1.
## TlMoSe (PBE)

Data for TlMoSe after structural relaxation.

extended XYZ file:
```
3
Lattice="-4.462 -0.065 -1.225 -1.673 -3.545 -2.460 -2.897 -3.022 1.972" Properties=species:S:1:pos:R:3 pbc="T T T"
Tl -4.516 -3.316 -0.856
Se 0.000 0.000 0.000
Mo -6.774 -4.974 -1.285
```

Values from the calculation:
ΔE_f (raw)	0.7201	eV per atom
polymorph energy (0 for the lowest one)	666	meV per atom
spin magnetization	1.9	μB per formula unit

***

2.
## ZrZn (PBE)

Data for ZrZn after structural relaxation.

extended XYZ file:
```
32
Lattice="-5.087 -2.197 -4.372 4.993 -6.416 -2.584 -3.926 -6.137 7.652" Properties=species:S:1:pos:R:3 pbc="T T T"
Zr -4.568 -9.068 1.325
Zr -2.954 -6.162 0.836
Zr 1.552 -1.995 -0.804
Zr -1.066 -8.588 -0.141
Zr 3.440 -4.421 -1.781
Zr -1.996 -6.781 -2.816
Zr -1.600 -2.312 -2.675
Zr 1.505 -6.302 -4.282
Zr -0.108 -9.207 -3.793
Zr 2.086 -8.271 1.730
Zr -6.455 -6.642 2.302
Zr -1.416 -8.751 3.196
Zr -1.949 -2.475 0.662
Zr 0.472 -11.177 2.219
Zr -1.019 -4.282 3.337
Zr -0.061 -4.901 -0.315
Zn -3.687 -8.099 -1.093
Zn -0.867 -0.374 -0.745
Zn -2.682 -4.412 -1.267
Zn -2.101 -6.382 4.745
Zn -4.220 -1.823 -3.627
Zn 2.358 -6.521 -0.373
Zn -0.914 -4.681 -4.223
Zn -2.148 -10.688 1.267
Zn 0.820 -3.932 -2.733
Zn -4.415 -5.161 -2.757
Zn -3.882 -11.437 -0.223
Zn 0.624 -7.270 -1.863
Zn -5.373 -4.542 0.895
Zn -3.640 -3.793 2.385
Zn -3.835 -7.131 3.255
Zn -0.334 -6.651 1.789
```

Values from the calculation:
spin magnetization	0.0	μB per formula unit
formation energy from the elements	-0.12	eV/f.u.